Here is crystalline Ho2MgAg2W4O16 at its relaxed geometry from Alexandria via LeMat-Bulk. Energies are from GGA+U.

Calculated values
As for the space-group type: Cm (8). The total energy is -7.0447 eV/atom.

a b c (Å): 7.6830 7.6830 7.5358
angles (deg): 116.37 116.37 94.02
Atoms (fractional coordinates):
1 Ho 0.2342 0.7658 0.0000
2 Ho 0.7658 0.2342 0.0000
3 Mg 0.7711 0.7711 0.6021
4 Ag 0.2266 0.2266 0.5365
5 Ag 0.9443 0.9443 0.4641
6 W 0.2699 0.2699 0.0100
7 W 0.3252 0.6492 0.4853
8 W 0.6492 0.3252 0.4853
9 W 0.7216 0.7216 0.9712
10 O 0.0175 0.0175 0.8106
11 O 0.1335 0.3814 0.2167
12 O 0.1913 0.4382 0.8857
13 O 0.1948 0.7031 0.6433
14 O 0.2765 0.7881 0.3364
15 O 0.3814 0.1335 0.2167
16 O 0.4382 0.1913 0.8857
17 O 0.4837 0.4837 0.6445
18 O 0.5165 0.5165 0.3413
19 O 0.5518 0.7999 0.0992
20 O 0.6037 0.8572 0.7493
21 O 0.7031 0.1948 0.6433
22 O 0.7881 0.2765 0.3364
23 O 0.7999 0.5518 0.0992
24 O 0.8572 0.6037 0.7493
25 O 0.9560 0.9560 0.1581